1.
A plane-wave DFT calculation with PBE was carried out for a relaxed RbTcBi crystal.

Properties
Polymorph energy (0 for the lowest one) ... 2 meV/atom
Volume ... 217 Å³ per cell
Formation enthalpy at 0 K ... 0.142 eV/atom

Cell and atoms, written as CIF:
```
data_RbTcBi
_symmetry_space_group_name_H-M 'P 1'
_symmetry_Int_Tables_number 1
_symmetry_space_group_name_Hall 'P 1'
_cell_length_a 4.3558
_cell_length_b 4.3584
_cell_length_c 13.3494
_cell_angle_alpha 93.27
_cell_angle_beta 95.84
_cell_angle_gamma 119.84
loop_
_atom_site_label
_atom_site_fract_x
_atom_site_fract_y
_atom_site_fract_z
Rb1 0.0000 0.0000 0.0000
Rb2 0.3543 0.2911 0.6660
Tc1 0.1811 0.1468 0.3392
Tc2 0.8356 0.4703 0.3166
Bi1 0.4398 0.7528 0.1992
Bi2 0.5779 0.8651 0.4583
```

=====

2.
A plane-wave DFT calculation with PBE was carried out for a relaxed Rb5Bi2Te5 crystal.

Properties
Raw formation energy ... -0.711 eV/atom
Volume ... 1130 Å³ per cell

Cell and atoms, written as CIF:
```
data_Rb5Bi2Te5
_symmetry_space_group_name_H-M 'C 1 2/m 1'
_symmetry_Int_Tables_number 12
_symmetry_space_group_name_Hall '-C 2y'
_cell_length_a 15.6737
_cell_length_b 5.3485
_cell_length_c 14.1605
_cell_angle_alpha 90.00
_cell_angle_beta 107.85
_cell_angle_gamma 90.00
loop_
_atom_site_label
_atom_site_fract_x
_atom_site_fract_y
_atom_site_fract_z
Rb1 0.0000 0.0000 0.0000
Rb2 0.1606 0.0000 0.5571
Rb3 0.2454 0.5000 0.1444
Bi1 0.0450 0.5000 0.2942
Te1 0.0000 0.5000 0.5000
Te2 0.1069 0.5000 0.8884
Te3 0.1479 0.0000 0.2889
```

=====

3.
A plane-wave DFT calculation with PBE was carried out for a relaxed RbBiTe crystal.

Properties
Raw formation energy ... -0.392 eV/atom
Polymorph energy (0 for the lowest one) ... 9 meV/atom
Volume ... 136 Å³ per cell

Cell and atoms, written as CIF:
```
data_RbBiTe
_symmetry_space_group_name_H-M 'P 3 m 1'
_symmetry_Int_Tables_number 156
_symmetry_space_group_name_Hall 'P 3 -2"'
_cell_length_a 5.2597
_cell_length_b 5.2597
_cell_length_c 5.6742
_cell_angle_alpha 90.00
_cell_angle_beta 90.00
_cell_angle_gamma 120.00
loop_
_atom_site_label
_atom_site_fract_x
_atom_site_fract_y
_atom_site_fract_z
Rb1 0.0000 0.0000 0.0000
Bi1 0.3333 0.6667 0.5372
Te1 0.6667 0.3333 0.4243
```

=====

4.
A plane-wave DFT calculation with PBE was carried out for a relaxed RbBi3Te3 crystal.

Properties
Raw formation energy ... -0.161 eV/atom
Volume ... 1828 Å³ per cell

Cell and atoms, written as CIF:
```
data_RbBi3Te3
_symmetry_space_group_name_H-M 'R -3'
_symmetry_Int_Tables_number 148
_symmetry_space_group_name_Hall '-R 3'
_cell_length_a 8.3022
_cell_length_b 8.3022
_cell_length_c 30.6312
_cell_angle_alpha 90.00
_cell_angle_beta 90.00
_cell_angle_gamma 120.00
loop_
_atom_site_label
_atom_site_fract_x
_atom_site_fract_y
_atom_site_fract_z
Rb1 0.0000 0.0000 0.1631
Bi1 0.0159 0.2596 0.9527
Te1 0.0137 0.4071 0.0835
```

=====

5.
A plane-wave DFT calculation with PBE was carried out for a relaxed Rb2BiTe crystal.

Properties
Raw formation energy ... -0.444 eV/atom
Polymorph energy (0 for the lowest one) ... 0 meV/atom
Volume ... 162 Å³ per cell

Cell and atoms, written as CIF:
```
data_Rb2BiTe
_symmetry_space_group_name_H-M 'P 1 2/m 1'
_symmetry_Int_Tables_number 10
_symmetry_space_group_name_Hall '-P 2y'
_cell_length_a 3.2889
_cell_length_b 10.1137
_cell_length_c 4.8563
_cell_angle_alpha 90.00
_cell_angle_beta 90.20
_cell_angle_gamma 90.00
loop_
_atom_site_label
_atom_site_fract_x
_atom_site_fract_y
_atom_site_fract_z
Rb1 0.0000 0.2277 0.0000
Bi1 0.5000 0.5000 0.5000
Te1 0.5000 0.0000 0.5000
```

=====

6.
A plane-wave DFT calculation with PBE was carried out for a relaxed RbBi2Te3 crystal.

Properties
Raw formation energy ... -0.363 eV/atom
Volume ... 476 Å³ per cell

Cell and atoms, written as CIF:
```
data_RbBi2Te3
_symmetry_space_group_name_H-M 'P m c 21'
_symmetry_Int_Tables_number 26
_symmetry_space_group_name_Hall 'P 2c -2'
_cell_length_a 4.4778
_cell_length_b 12.9440
_cell_length_c 8.2116
_cell_angle_alpha 90.00
_cell_angle_beta 90.00
_cell_angle_gamma 90.00
loop_
_atom_site_label
_atom_site_fract_x
_atom_site_fract_y
_atom_site_fract_z
Rb1 0.0000 0.1370 0.0000
Bi1 0.0000 0.2136 0.4941
Bi2 0.5000 0.4994 0.9880
Te1 0.0000 0.4043 0.7511
Te2 0.5000 0.0842 0.6446
Te3 0.5000 0.3141 0.2519
```

=====

no.,raw total energy (eV/atom)
1,-4.930
2,-3.070
3,-3.055
4,-3.309
5,-2.683
6,-3.389